Compound: MgSiPt
Source: the Alexandria database
Functional: PBEsol
Structure: relaxed

a = 3.2949 Å, b = 3.2949 Å, c = 8.8825 Å
α = 90.00°, β = 90.00°, γ = 90.00°
Last column: nearest neighbours and their distance in Å.
Space group I4mm (No. 107)
Unique sites:
Mg1 0.0000 0.0000 0.0000 x2  5 Si 2.69-2.91, 5 Pt 2.69-2.91
Si1 0.0000 0.0000 0.3028 x2  4 Pt 2.51, 1 Mg 2.69
Pt1 0.0000 0.0000 0.6970 x2  4 Si 2.51, 1 Mg 2.69

Computed properties:
The calculation puts the formation energy (no corrections) at -1.5 eV per formula unit. Its crystal system is tetragonal.

Compound: MgSiPt2
Source: the Alexandria database
Functional: PBEsol
Structure: relaxed

a = 2.9637 Å, b = 2.9637 Å, c = 6.8129 Å
α = 90.00°, β = 90.00°, γ = 90.00°
Last column: nearest neighbours and their distance in Å.
Space group P4/mmm (No. 123)
Unique sites:
Mg1 0.0000 0.0000 0.0000 x1  8 Pt 2.89, 4 Mg 2.96
Si1 0.0000 0.0000 0.5000 x1  8 Pt 2.53
Pt1 0.5000 0.5000 0.2912 x2  4 Si 2.53

Computed properties:
The calculation puts the formation energy (no corrections) at -2.7 eV per formula unit. Its crystal system is tetragonal.

Compound: MgSiPt2
Source: the Alexandria database
Functional: PBEsol
Structure: relaxed

a = 3.7377 Å, b = 4.3350 Å, c = 7.3461 Å
α = 90.00°, β = 90.00°, γ = 90.00°
Last column: nearest neighbours and their distance in Å.
Space group Immm (No. 71)
Unique sites:
Mg1 0.0000 0.0000 0.0000 x2  8 Pt 2.67-2.83, 4 Si 2.86
Si1 0.0000 0.0000 0.5000 x2  4 Pt 2.43
Pt1 0.0000 0.5000 0.2111 x4  2 Si 2.43, 2 Mg 2.67

Computed properties:
The calculation puts the formation energy (no corrections) at -2.7 eV per formula unit. Its crystal system is orthorhombic.

Compound: Mg5Si16Pt10
Source: the Alexandria database
Functional: PBEsol
Structure: relaxed

a = 12.5721 Å, b = 12.5721 Å, c = 12.5721 Å
α = 90.00°, β = 90.00°, γ = 90.00°
Last column: nearest neighbours and their distance in Å.
Space group F-43m (No. 216)
Unique sites:
Mg1 0.0000 0.0000 0.0000 x4  4 Pt 2.76
Mg2 0.1557 0.1557 0.6557 x16  6 Pt 2.79-2.93
Si1 0.0442 0.1836 0.1836 x48  3 Si 2.36-2.48, 3 Pt 2.37-2.59
Si2 0.0733 0.0733 0.4267 x16  3 Pt 2.40, 3 Si 2.61
Pt1 0.0000 0.0000 0.2668 x24  6 Si 2.40-2.59
Pt2 0.1266 0.1266 0.8734 x16  3 Si 2.37

Computed properties:
The calculation puts the formation energy (no corrections) at -20.2 eV per formula unit. Its crystal system is cubic.

Compound: MgSiPt2
Source: the Alexandria database
Functional: PBEsol
Structure: relaxed

a = 3.3591 Å, b = 3.9868 Å, c = 8.8710 Å
α = 90.00°, β = 90.00°, γ = 90.00°
Last column: nearest neighbours and their distance in Å.
Space group Imm2 (No. 44)
Unique sites:
Mg1 0.0000 0.0000 0.0000 x2  6 Pt 2.63-2.83, 4 Si 2.87-2.90
Si1 0.0000 0.5000 0.2373 x2  6 Pt 2.43-2.63
Pt1 0.0000 0.0000 0.5394 x2  2 Si 2.43, 4 Mg 2.63
Pt2 0.0000 0.5000 0.7735 x2  4 Si 2.63, 2 Mg 2.83, 4 Pt 2.88-2.90

Computed properties:
The calculation puts the formation energy (no corrections) at -2.6 eV per formula unit. Its crystal system is orthorhombic.

Compound: SmMgPt
Source: the Alexandria database
Functional: PBEsol
Structure: relaxed

a = 7.3979 Å, b = 7.3979 Å, c = 4.0673 Å
α = 90.00°, β = 90.00°, γ = 120.00°
Last column: nearest neighbours and their distance in Å.
Space group P-62m (No. 189)
Unique sites:
Sm1 0.0000 0.4106 0.0000 x3  5 Pt 3.02-3.04, 6 Mg 3.27-3.34
Mg1 0.0000 0.7566 0.5000 x3  4 Pt 2.72-2.86
Pt1 0.0000 0.0000 0.0000 x1  6 Mg 2.72, 3 Sm 3.04
Pt2 0.3333 0.6667 0.5000 x2  3 Mg 2.86, 6 Sm 3.02

Computed properties:
As for the formation enthalpy at 0 K: -881 meV per atom. Its crystal system is hexagonal.

Compound: Sm4MgPt
Source: the Alexandria database
Functional: PBEsol
Structure: relaxed

a = 13.8715 Å, b = 13.8715 Å, c = 13.8715 Å
α = 90.00°, β = 90.00°, γ = 90.00°
Last column: nearest neighbours and their distance in Å.
Space group F-43m (No. 216)
Unique sites:
Sm1 0.0000 0.0000 0.1852 x24  2 Mg 3.35, 2 Pt 3.57, 10 Sm 3.57-3.68
Sm2 0.0602 0.2500 0.2500 x24  2 Pt 2.87
Sm3 0.0985 0.0985 0.5985 x16  3 Pt 2.86
Mg1 0.1702 0.1702 0.8298 x16  3 Mg 3.13, 6 Sm 3.35-3.50
Pt1 0.1073 0.1073 0.3927 x16  6 Sm 2.86-2.87

Computed properties:
As for the formation enthalpy at 0 K: -460 meV per atom. Its crystal system is cubic.

Compound: SrMgPt3
Source: the Alexandria database
Functional: PBEsol
Structure: relaxed

a = 4.7104 Å, b = 4.7104 Å, c = 4.7104 Å
α = 90.00°, β = 90.00°, γ = 90.00°
Last column: nearest neighbours and their distance in Å.
Space group Pm-3m (No. 221)
Unique sites:
Sr1 0.0000 0.0000 0.0000 x1  12 Pt 3.33
Mg1 0.5000 0.5000 0.5000 x1  6 Pt 2.36
Pt1 0.0000 0.5000 0.5000 x3  2 Mg 2.36

Computed properties:
As for the formation enthalpy at 0 K: 62 meV per atom. Its crystal system is cubic.

Compound: Sr2MgPt
Source: the Alexandria database
Functional: PBEsol
Structure: relaxed

a = 4.4880 Å, b = 4.6140 Å, c = 11.7130 Å
α = 90.00°, β = 90.00°, γ = 90.00°
Last column: nearest neighbours and their distance in Å.
Space group Amm2 (No. 38)
Unique sites:
Sr1 0.0000 0.0000 0.0000 x2  3 Mg 3.24-3.58, 4 Pt 3.35
Sr2 0.5000 0.0000 0.2859 x2  3 Pt 3.35-3.43, 4 Mg 3.39
Mg1 0.0000 0.0000 0.6943 x2  2 Pt 2.62
Pt1 0.5000 0.0000 0.5787 x2  2 Mg 2.62

Computed properties:
As for the formation enthalpy at 0 K: -423 meV per atom. Its crystal system is orthorhombic.

Compound: SrMg2Pt
Source: the Alexandria database
Functional: PBEsol
Structure: relaxed

a = 4.5130 Å, b = 4.5130 Å, c = 17.1796 Å
α = 90.00°, β = 90.00°, γ = 120.00°
Last column: nearest neighbours and their distance in Å.
Space group R-3m (No. 166, hexagonal axes)
Unique sites:
Sr1 0.0000 0.0000 0.0000 x3  8 Mg 3.43-3.49
Mg1 0.0000 0.0000 0.2033 x6  3 Pt 2.68, 3 Mg 2.89
Pt1 0.0000 0.0000 0.5000 x3  6 Mg 2.68

Computed properties:
As for the formation enthalpy at 0 K: -409 meV per atom. Its crystal system is trigonal.

Compound: SrMg2Pt2
Source: the Alexandria database
Functional: PBEsol
Structure: relaxed

a = 4.2528 Å, b = 4.2528 Å, c = 11.7668 Å
α = 90.00°, β = 90.00°, γ = 90.00°
Last column: nearest neighbours and their distance in Å.
Space group I4/mmm (No. 139)
Unique sites:
Sr1 0.0000 0.0000 0.0000 x2  8 Pt 3.28, 8 Mg 3.63
Mg1 0.0000 0.5000 0.2500 x4  4 Pt 2.68
Pt1 0.0000 0.0000 0.3890 x4  1 Pt 2.61, 4 Mg 2.68

Computed properties:
As for the formation enthalpy at 0 K: -728 meV per atom. Its crystal system is tetragonal.

Compound: SrMgPt
Source: the Alexandria database
Functional: PBEsol
Structure: relaxed

a = 7.5006 Å, b = 4.4095 Å, c = 8.4962 Å
α = 90.00°, β = 90.00°, γ = 90.00°
Last column: nearest neighbours and their distance in Å.
Space group Pnma (No. 62)
Unique sites:
Sr1 0.0279 0.2500 0.1773 x4  5 Pt 3.14-3.23, 5 Mg 3.36-3.47
Mg1 0.1385 0.2500 0.5632 x4  4 Pt 2.74-2.90
Pt1 0.2209 0.7500 0.3811 x4  4 Mg 2.74-2.90

Computed properties:
As for the formation enthalpy at 0 K: -705 meV per atom. Its crystal system is orthorhombic.

What did we get for total energy? Answer: -5.312; -6.014; -6.021; -6.141; -6.004; -5.472; -5.302; -4.827; -3.513; -3.469; -4.569; -4.212 eV per atom, in the order shown.